This record from Alexandria describes a relaxed structure of PrHo2Er6. The functional is PBE-GGA.

**Formation energy**: 0.024 eV per atom
**Excess energy over the best structure of this formula in the dataset**: 0 meV/atom

Lattice parameters (Å, degrees): 5.002 10.594 10.594 90.00 90.00 90.00
Atoms (fractional coordinates):
1 Pr 0.500 0.500 0.000
2 Pr 0.000 0.000 0.500
3 Ho 0.000 0.332 0.832
4 Ho 0.500 0.832 0.668
5 Ho 0.500 0.168 0.332
6 Ho 0.000 0.668 0.168
7 Er 0.000 0.000 0.165
8 Er 0.000 0.665 0.500
9 Er 0.000 0.668 0.832
10 Er 0.500 0.168 0.668
11 Er 0.500 0.165 0.000
12 Er 0.500 0.500 0.335
13 Er 0.000 0.000 0.835
14 Er 0.000 0.335 0.500
15 Er 0.000 0.332 0.168
16 Er 0.500 0.832 0.332
17 Er 0.500 0.835 0.000
18 Er 0.500 0.500 0.665